Entry 1:
First-principles (PBE-GGA) data for an optimized crystal structure of TcOsN3, as listed in Alexandria.

* Fermi-level density of states: 4.076 states/eV/cell
* raw formation energy: 1.756 eV/atom

Lattice parameters (Å, degrees): 3.8526 3.8526 3.8526 90.00 90.00 90.00
Closest atoms and distances in Å follow each position.
Space group Pm-3m (No. 221)
Inequivalent atoms, fractional coordinates:
Tc  0.0000  0.0000  0.0000  6 N 1.93
Os  0.5000  0.5000  0.5000  12 N 2.72
N  0.0000  0.0000  0.5000  2 Tc 1.93

Entry 2:
First-principles (PBE-GGA) data for an optimized crystal structure of Tc2Os2N, as listed in Alexandria.

* excess energy over the best structure of this formula in the dataset: 0.0000 eV/atom
* Fermi-level density of states: 11.069 states/eV/cell
* raw formation energy: 1.273 eV/atom

Lattice parameters (Å, degrees): 7.3212 7.3212 2.8172 90.00 90.00 90.00
Closest atoms and distances in Å follow each position.
Space group P4/mbm (No. 127)
Inequivalent atoms, fractional coordinates:
Tc  0.1665  0.3335  0.0000  6 Os 2.55-2.59, 2 N 2.73, 2 Tc 2.82
Os  0.1277  0.6277  0.5000  6 Tc 2.55-2.59, 3 Os 2.64-2.82
N  0.0000  0.0000  0.0000  4 Tc 2.73, 2 N 2.82